Model i:
A plane-wave DFT calculation with GGA-PBE was carried out for crystalline ReMoPd2 at its relaxed geometry.

Summary:
total magnetic moment: 0.000 μB/atom
volume: 265.8 Å³/cell

The structure in CIF format:
```
data_ReMoPd2
_cell_length_a 7.1295
_cell_length_b 7.1295
_cell_length_c 5.2289
_cell_angle_alpha 90.00
_cell_angle_beta 90.00
_cell_angle_gamma 90.00
_symmetry_space_group_name_H-M 'I -4 2 d'
_symmetry_Int_Tables_number 122
_symmetry_space_group_name_Hall 'I -4 2bw'
loop_
_atom_site_label
_atom_site_type_symbol
_atom_site_fract_x
_atom_site_fract_y
_atom_site_fract_z
Re1 Re 0.0000 0.0000 0.0000
Mo1 Mo 0.0000 0.0000 0.5000
Pd1 Pd 0.2451 0.2500 0.1250
```


Model ii:
A plane-wave DFT calculation with GGA-PBE was carried out for crystalline ReMoPd2 at its relaxed geometry.

Summary:
total magnetic moment: 0.000 μB/atom
volume: 182.1 Å³/cell

The structure in CIF format:
```
data_ReMoPd2
_cell_length_a 2.7549
_cell_length_b 2.7549
_cell_length_c 27.7012
_cell_angle_alpha 90.00
_cell_angle_beta 90.00
_cell_angle_gamma 120.00
_symmetry_space_group_name_H-M 'R -3 m'
_symmetry_Int_Tables_number 166
_symmetry_space_group_name_Hall '-R 3 2"'
loop_
_atom_site_label
_atom_site_type_symbol
_atom_site_fract_x
_atom_site_fract_y
_atom_site_fract_z
Re1 Re 0.0000 0.0000 0.0000
Mo1 Mo 0.0000 0.0000 0.5000
Pd1 Pd 0.0000 0.0000 0.2505
```


Model iii:
A plane-wave DFT calculation with GGA-PBE was carried out for crystalline ReMoPd2 at its relaxed geometry.

Summary:
total magnetic moment: 0.001 μB/atom
volume: 248.2 Å³/cell

The structure in CIF format:
```
data_ReMoPd2
_cell_length_a 6.2849
_cell_length_b 6.2849
_cell_length_c 6.2849
_cell_angle_alpha 90.00
_cell_angle_beta 90.00
_cell_angle_gamma 90.00
_symmetry_space_group_name_H-M 'F m -3 m'
_symmetry_Int_Tables_number 225
_symmetry_space_group_name_Hall '-F 4 2 3'
loop_
_atom_site_label
_atom_site_type_symbol
_atom_site_fract_x
_atom_site_fract_y
_atom_site_fract_z
Re1 Re 0.0000 0.0000 0.0000
Mo1 Mo 0.0000 0.0000 0.5000
Pd1 Pd 0.2500 0.2500 0.2500
```


How do the energies compare? Relative to the most stable structure, in meV/atom: model i 644; model ii 0; model iii 441.


Model i:
A plane-wave DFT calculation with GGA-PBE was carried out for crystalline Re2MoPd at its relaxed geometry.

Summary:
total magnetic moment: 0.000 μB/atom
volume: 269.8 Å³/cell

The structure in CIF format:
```
data_Re2MoPd
_cell_length_a 7.1247
_cell_length_b 7.1247
_cell_length_c 5.3160
_cell_angle_alpha 90.00
_cell_angle_beta 90.00
_cell_angle_gamma 90.00
_symmetry_space_group_name_H-M 'I -4 2 d'
_symmetry_Int_Tables_number 122
_symmetry_space_group_name_Hall 'I -4 2bw'
loop_
_atom_site_label
_atom_site_type_symbol
_atom_site_fract_x
_atom_site_fract_y
_atom_site_fract_z
Re1 Re 0.2316 0.2500 0.1250
Mo1 Mo 0.0000 0.0000 0.0000
Pd1 Pd 0.0000 0.0000 0.5000
```


Model ii:
A plane-wave DFT calculation with GGA-PBE was carried out for crystalline Re2MoPd at its relaxed geometry.

Summary:
total magnetic moment: 0.000 μB/atom
volume: 60.3 Å³/cell

The structure in CIF format:
```
data_Re2MoPd
_cell_length_a 3.9146
_cell_length_b 3.9146
_cell_length_c 3.9338
_cell_angle_alpha 90.00
_cell_angle_beta 90.00
_cell_angle_gamma 90.00
_symmetry_space_group_name_H-M 'P 4/m m m'
_symmetry_Int_Tables_number 123
_symmetry_space_group_name_Hall '-P 4 2'
loop_
_atom_site_label
_atom_site_type_symbol
_atom_site_fract_x
_atom_site_fract_y
_atom_site_fract_z
Re1 Re 0.0000 0.5000 0.0000
Mo1 Mo 0.0000 0.0000 0.5000
Pd1 Pd 0.5000 0.5000 0.5000
```


Model iii:
A plane-wave DFT calculation with GGA-PBE was carried out for crystalline Re2MoPd at its relaxed geometry.

Summary:
total magnetic moment: 0.000 μB/atom
volume: 245.7 Å³/cell

The structure in CIF format:
```
data_Re2MoPd
_cell_length_a 6.2634
_cell_length_b 6.2634
_cell_length_c 6.2634
_cell_angle_alpha 90.00
_cell_angle_beta 90.00
_cell_angle_gamma 90.00
_symmetry_space_group_name_H-M 'F m -3 m'
_symmetry_Int_Tables_number 225
_symmetry_space_group_name_Hall '-F 4 2 3'
loop_
_atom_site_label
_atom_site_type_symbol
_atom_site_fract_x
_atom_site_fract_y
_atom_site_fract_z
Re1 Re 0.2500 0.2500 0.2500
Mo1 Mo 0.0000 0.0000 0.0000
Pd1 Pd 0.0000 0.0000 0.5000
```


How do the energies compare? Relative to the most stable structure, in meV/atom: model i 831; model ii 0; model iii 314.


Model i:
A plane-wave DFT calculation with GGA-PBE was carried out for crystalline Mo2PdRh2 at its relaxed geometry.

Summary:
total magnetic moment: 0.000 μB/atom
volume: 156.9 Å³/cell

The structure in CIF format:
```
data_Mo2PdRh2
_cell_length_a 7.5094
_cell_length_b 7.5094
_cell_length_c 2.7822
_cell_angle_alpha 90.00
_cell_angle_beta 90.00
_cell_angle_gamma 90.00
_symmetry_space_group_name_H-M 'P 4/m b m'
_symmetry_Int_Tables_number 127
_symmetry_space_group_name_Hall '-P 4 2ab'
loop_
_atom_site_label
_atom_site_type_symbol
_atom_site_fract_x
_atom_site_fract_y
_atom_site_fract_z
Mo1 Mo 0.1681 0.3319 0.0000
Pd1 Pd 0.0000 0.0000 0.5000
Rh1 Rh 0.1283 0.6283 0.5000
```


Model ii:
A plane-wave DFT calculation with GGA-PBE was carried out for crystalline Mo2PdRh2 at its relaxed geometry.

Summary:
total magnetic moment: 0.065 μB/atom
volume: 150.6 Å³/cell

The structure in CIF format:
```
data_Mo2PdRh2
_cell_length_a 2.7727
_cell_length_b 2.7727
_cell_length_c 22.6249
_cell_angle_alpha 90.00
_cell_angle_beta 90.00
_cell_angle_gamma 120.00
_symmetry_space_group_name_H-M 'P 3 m 1'
_symmetry_Int_Tables_number 156
_symmetry_space_group_name_Hall 'P 3 -2"'
loop_
_atom_site_label
_atom_site_type_symbol
_atom_site_fract_x
_atom_site_fract_y
_atom_site_fract_z
Mo1 Mo 0.0000 0.0000 0.0000
Mo2 Mo 0.0000 0.0000 0.1969
Mo3 Mo 0.0000 0.0000 0.8013
Mo4 Mo 0.6667 0.3333 0.3047
Pd1 Pd 0.0000 0.0000 0.4034
Pd2 Pd 0.0000 0.0000 0.6048
Rh1 Rh 0.6667 0.3333 0.0982
Rh2 Rh 0.6667 0.3333 0.5053
Rh3 Rh 0.6667 0.3333 0.7075
Rh4 Rh 0.6667 0.3333 0.9013
```


How do the energies compare? Relative to the most stable structure, in meV/atom: model i 26; model ii 0.


Model i:
A plane-wave DFT calculation with GGA-PBE was carried out for crystalline MoPd2Rh at its relaxed geometry.

Summary:
total magnetic moment: 0.000 μB/atom
volume: 60.6 Å³/cell

The structure in CIF format:
```
data_MoPd2Rh
_cell_length_a 2.7725
_cell_length_b 2.7725
_cell_length_c 7.8798
_cell_angle_alpha 90.00
_cell_angle_beta 90.00
_cell_angle_gamma 90.00
_symmetry_space_group_name_H-M 'P 4 m m'
_symmetry_Int_Tables_number 99
_symmetry_space_group_name_Hall 'P 4 -2'
loop_
_atom_site_label
_atom_site_type_symbol
_atom_site_fract_x
_atom_site_fract_y
_atom_site_fract_z
Mo1 Mo 0.0000 0.0000 0.0000
Pd1 Pd 0.0000 0.0000 0.4882
Pd2 Pd 0.5000 0.5000 0.7488
Rh1 Rh 0.5000 0.5000 0.2283
```


Model ii:
A plane-wave DFT calculation with GGA-PBE was carried out for crystalline MoPd2Rh at its relaxed geometry.

Summary:
total magnetic moment: 0.000 μB/atom
volume: 264.9 Å³/cell

The structure in CIF format:
```
data_MoPd2Rh
_cell_length_a 7.1074
_cell_length_b 7.1074
_cell_length_c 5.2441
_cell_angle_alpha 90.00
_cell_angle_beta 90.00
_cell_angle_gamma 90.00
_symmetry_space_group_name_H-M 'I -4 2 d'
_symmetry_Int_Tables_number 122
_symmetry_space_group_name_Hall 'I -4 2bw'
loop_
_atom_site_label
_atom_site_type_symbol
_atom_site_fract_x
_atom_site_fract_y
_atom_site_fract_z
Mo1 Mo 0.0000 0.0000 0.0000
Pd1 Pd 0.2344 0.2500 0.1250
Rh1 Rh 0.0000 0.0000 0.5000
```


Model iii:
A plane-wave DFT calculation with GGA-PBE was carried out for crystalline MoPd2Rh at its relaxed geometry.

Summary:
total magnetic moment: 0.000 μB/atom
volume: 243.5 Å³/cell

The structure in CIF format:
```
data_MoPd2Rh
_cell_length_a 6.2443
_cell_length_b 6.2443
_cell_length_c 6.2443
_cell_angle_alpha 90.00
_cell_angle_beta 90.00
_cell_angle_gamma 90.00
_symmetry_space_group_name_H-M 'F m -3 m'
_symmetry_Int_Tables_number 225
_symmetry_space_group_name_Hall '-F 4 2 3'
loop_
_atom_site_label
_atom_site_type_symbol
_atom_site_fract_x
_atom_site_fract_y
_atom_site_fract_z
Mo1 Mo 0.0000 0.0000 0.0000
Pd1 Pd 0.2500 0.2500 0.2500
Rh1 Rh 0.0000 0.0000 0.5000
```


How do the energies compare? Relative to the most stable structure, in meV/atom: model i 0; model ii 623; model iii 310.


Model i:
A plane-wave DFT calculation with GGA-PBE was carried out for crystalline MoPdRu at its relaxed geometry.

Summary:
total magnetic moment: 0.001 μB/atom
volume: 45.4 Å³/cell

The structure in CIF format:
```
data_MoPdRu
_cell_length_a 4.4123
_cell_length_b 4.4123
_cell_length_c 2.6907
_cell_angle_alpha 90.00
_cell_angle_beta 90.00
_cell_angle_gamma 120.00
_symmetry_space_group_name_H-M 'P -6 m 2'
_symmetry_Int_Tables_number 187
_symmetry_space_group_name_Hall 'P -6 2'
loop_
_atom_site_label
_atom_site_type_symbol
_atom_site_fract_x
_atom_site_fract_y
_atom_site_fract_z
Mo1 Mo 0.0000 0.0000 0.0000
Pd1 Pd 0.3333 0.6667 0.5000
Ru1 Ru 0.6667 0.3333 0.5000
```


Model ii:
A plane-wave DFT calculation with GGA-PBE was carried out for crystalline MoPdRu at its relaxed geometry.

Summary:
total magnetic moment: 0.000 μB/atom
volume: 45.1 Å³/cell

The structure in CIF format:
```
data_MoPdRu
_cell_length_a 2.7689
_cell_length_b 2.7689
_cell_length_c 6.7901
_cell_angle_alpha 90.00
_cell_angle_beta 90.00
_cell_angle_gamma 120.00
_symmetry_space_group_name_H-M 'P 3 m 1'
_symmetry_Int_Tables_number 156
_symmetry_space_group_name_Hall 'P 3 -2"'
loop_
_atom_site_label
_atom_site_type_symbol
_atom_site_fract_x
_atom_site_fract_y
_atom_site_fract_z
Mo1 Mo 0.0000 0.0000 0.0000
Pd1 Pd 0.3333 0.6667 0.6600
Ru1 Ru 0.6667 0.3333 0.3129
```


How do the energies compare? Relative to the most stable structure, in meV/atom: model i 204; model ii 0.


Model i:
A plane-wave DFT calculation with GGA-PBE was carried out for crystalline MoPdRu at its relaxed geometry.

Summary:
total magnetic moment: 0.000 μB/atom
volume: 182.1 Å³/cell

The structure in CIF format:
```
data_MoPdRu
_cell_length_a 9.1422
_cell_length_b 4.4340
_cell_length_c 5.4095
_cell_angle_alpha 90.00
_cell_angle_beta 123.85
_cell_angle_gamma 90.00
_symmetry_space_group_name_H-M 'C 1 2/m 1'
_symmetry_Int_Tables_number 12
_symmetry_space_group_name_Hall '-C 2y'
loop_
_atom_site_label
_atom_site_type_symbol
_atom_site_fract_x
_atom_site_fract_y
_atom_site_fract_z
Mo1 Mo 0.0222 0.0000 0.2785
Pd1 Pd 0.1699 0.5000 0.1583
Ru1 Ru 0.1599 0.5000 0.6626
```


Model ii:
A plane-wave DFT calculation with GGA-PBE was carried out for crystalline MoPdRu at its relaxed geometry.

Summary:
total magnetic moment: 0.000 μB/atom
volume: 90.4 Å³/cell

The structure in CIF format:
```
data_MoPdRu
_cell_length_a 2.7852
_cell_length_b 2.7852
_cell_length_c 11.6592
_cell_angle_alpha 90.00
_cell_angle_beta 90.00
_cell_angle_gamma 90.00
_symmetry_space_group_name_H-M 'I 4 m m'
_symmetry_Int_Tables_number 107
_symmetry_space_group_name_Hall 'I 4 -2'
loop_
_atom_site_label
_atom_site_type_symbol
_atom_site_fract_x
_atom_site_fract_y
_atom_site_fract_z
Mo1 Mo 0.0000 0.0000 0.0000
Pd1 Pd 0.0000 0.0000 0.3268
Ru1 Ru 0.0000 0.0000 0.6512
```


How do the energies compare? Relative to the most stable structure, in meV/atom: model i 179; model ii 0.